Compound: Pr3BeO6
Source: Alexandria via LeMat-Bulk
Functional: GGA-PBE
Structure: optimized geometry

Cell and atoms, written as POSCAR:
```
Pr3BeO6
1.0
4.737 -5.857 0.000
4.737 5.857 0.000
0.000 0.000 5.284
Pr Be O
6 2 12
direct
0.112 0.888 0.500 Pr
0.195 0.427 0.550 Pr
0.427 0.195 0.050 Pr
0.573 0.805 0.550 Pr
0.805 0.573 0.050 Pr
0.888 0.112 0.000 Pr
0.302 0.698 0.087 Be
0.698 0.302 0.587 Be
0.102 0.615 0.231 O
0.148 0.171 0.279 O
0.171 0.148 0.779 O
0.286 0.714 0.775 O
0.385 0.898 0.231 O
0.448 0.552 0.180 O
0.552 0.448 0.680 O
0.615 0.102 0.731 O
0.714 0.286 0.275 O
0.829 0.852 0.279 O
0.852 0.829 0.779 O
0.898 0.385 0.731 O
```

Results
Uncorrected formation energy   -2.92 eV/atom
DOS at the Fermi energy   9.55 states/eV/cell
Theoretical density   6.0 g/cm3

=====

Compound: Pr2BeO4
Source: Alexandria via LeMat-Bulk
Functional: GGA-PBE
Structure: optimized geometry

Cell and atoms, written as POSCAR:
```
Pr2BeO4
1.0
5.235 0.000 0.000
0.000 5.366 0.000
-2.219 0.000 6.478
Pr Be O
4 2 8
direct
0.208 0.250 0.039 Pr
0.281 0.250 0.569 Pr
0.719 0.750 0.431 Pr
0.792 0.750 0.961 Pr
0.227 0.750 0.791 Be
0.773 0.250 0.209 Be
0.024 0.513 0.735 O
0.024 0.987 0.735 O
0.383 0.750 0.051 O
0.432 0.750 0.648 O
0.568 0.250 0.352 O
0.617 0.250 0.949 O
0.976 0.013 0.265 O
0.976 0.487 0.265 O
```

Results
Uncorrected formation energy   -3.06 eV/atom
DOS at the Fermi energy   0.00 states/eV/cell
Theoretical density   6.5 g/cm3

=====

Compound: PrBe4Pt3O12
Source: Alexandria via LeMat-Bulk
Functional: GGA-PBE
Structure: optimized geometry

Cell and atoms, written as POSCAR:
```
PrBe4Pt3O12
1.0
5.032 2.905 2.544
-5.032 2.905 2.544
0.000 -5.810 2.544
Pr Be Pt O
1 4 3 12
direct
0.000 0.000 0.000 Pr
0.072 0.500 0.928 Be
0.500 0.500 0.500 Be
0.500 0.928 0.072 Be
0.928 0.072 0.500 Be
0.000 0.565 0.435 Pt
0.435 0.000 0.565 Pt
0.565 0.435 0.000 Pt
0.040 0.646 0.773 O
0.084 0.916 0.500 O
0.227 0.354 0.960 O
0.346 0.654 0.500 O
0.354 0.960 0.227 O
0.500 0.084 0.916 O
0.500 0.346 0.654 O
0.646 0.773 0.040 O
0.654 0.500 0.346 O
0.773 0.040 0.646 O
0.916 0.500 0.084 O
0.960 0.227 0.354 O
```

Results
Uncorrected formation energy   -1.60 eV/atom
DOS at the Fermi energy   14.91 states/eV/cell
Theoretical density   7.1 g/cm3

=====

Compound: PrPuBe2O8
Source: Alexandria via LeMat-Bulk
Functional: GGA-PBE
Structure: optimized geometry

Cell and atoms, written as POSCAR:
```
PrPuBe2O8
1.0
5.239 0.000 0.000
-2.620 4.537 0.000
0.000 0.000 6.796
Pr Pu Be O
1 1 2 8
direct
0.000 0.000 0.000 Pr
0.000 0.000 0.500 Pu
0.333 0.667 0.234 Be
0.667 0.333 0.766 Be
0.165 0.329 0.307 O
0.165 0.835 0.307 O
0.329 0.165 0.693 O
0.333 0.667 0.999 O
0.667 0.333 0.001 O
0.671 0.835 0.307 O
0.835 0.165 0.693 O
0.835 0.671 0.693 O
```

Results
Uncorrected formation energy   -2.12 eV/atom
DOS at the Fermi energy   6.34 states/eV/cell
Theoretical density   5.5 g/cm3

=====

Compound: RbPrBeO3
Source: Alexandria via LeMat-Bulk
Functional: GGA-PBE
Structure: optimized geometry

Cell and atoms, written as POSCAR:
```
RbPrBeO3
1.0
7.687 0.000 0.000
0.000 3.586 0.000
-2.306 0.000 7.769
Rb Pr Be O
2 2 2 6
direct
0.216 0.250 0.184 Rb
0.784 0.750 0.816 Rb
0.177 0.250 0.656 Pr
0.823 0.750 0.344 Pr
0.395 0.750 0.942 Be
0.605 0.250 0.058 Be
0.145 0.750 0.454 O
0.188 0.750 0.862 O
0.475 0.250 0.872 O
0.525 0.750 0.128 O
0.812 0.250 0.138 O
0.855 0.250 0.546 O
```

Results
Uncorrected formation energy   -2.50 eV/atom
DOS at the Fermi energy   0.00 states/eV/cell
Theoretical density   4.4 g/cm3

=====

Compound: Pr2BeSnO6
Source: Alexandria via LeMat-Bulk
Functional: GGA-PBE
Structure: optimized geometry

Cell and atoms, written as POSCAR:
```
Pr2BeSnO6
1.0
5.502 0.000 0.000
0.000 5.531 0.000
-5.378 0.000 7.895
Pr Be Sn O
4 2 2 12
direct
0.235 0.038 0.248 Pr
0.235 0.462 0.748 Pr
0.765 0.538 0.252 Pr
0.765 0.962 0.752 Pr
0.000 0.000 0.500 Be
0.000 0.500 0.000 Be
0.500 0.000 0.000 Sn
0.500 0.500 0.500 Sn
0.161 0.227 0.956 O
0.161 0.273 0.456 O
0.226 0.706 0.956 O
0.226 0.794 0.456 O
0.323 0.017 0.742 O
0.323 0.483 0.242 O
0.677 0.517 0.758 O
0.677 0.983 0.258 O
0.774 0.206 0.544 O
0.774 0.294 0.044 O
0.839 0.727 0.544 O
0.839 0.773 0.044 O
```

Results
Uncorrected formation energy   -2.56 eV/atom
DOS at the Fermi energy   0.00 states/eV/cell
Theoretical density   7.0 g/cm3

=====

Compound: PrBe2TeO8
Source: Alexandria via LeMat-Bulk
Functional: GGA-PBE
Structure: optimized geometry

Cell and atoms, written as POSCAR:
```
PrBe2TeO8
1.0
5.209 0.000 0.000
-2.605 4.511 0.000
0.000 0.000 6.683
Pr Be Te O
1 2 1 8
direct
0.000 0.000 0.000 Pr
0.333 0.667 0.263 Be
0.667 0.333 0.737 Be
0.000 0.000 0.500 Te
0.161 0.323 0.313 O
0.161 0.839 0.313 O
0.323 0.161 0.687 O
0.333 0.667 0.015 O
0.667 0.333 0.985 O
0.677 0.839 0.313 O
0.839 0.161 0.687 O
0.839 0.677 0.687 O
```

Results
Uncorrected formation energy   -1.57 eV/atom
DOS at the Fermi energy   6.58 states/eV/cell
Theoretical density   4.4 g/cm3

=====

Compound: PrBe4Te3O12
Source: Alexandria via LeMat-Bulk
Functional: GGA-PBE
Structure: optimized geometry

Cell and atoms, written as POSCAR:
```
PrBe4Te3O12
1.0
5.199 3.002 2.698
-5.199 3.002 2.698
0.000 -6.004 2.698
Pr Be Te O
1 4 3 12
direct
0.000 0.000 0.000 Pr
0.050 0.500 0.950 Be
0.500 0.500 0.500 Be
0.500 0.950 0.050 Be
0.950 0.050 0.500 Be
0.000 0.544 0.456 Te
0.456 0.000 0.544 Te
0.544 0.456 0.000 Te
0.023 0.641 0.795 O
0.100 0.900 0.500 O
0.205 0.359 0.977 O
0.351 0.649 0.500 O
0.359 0.977 0.205 O
0.500 0.100 0.900 O
0.500 0.351 0.649 O
0.641 0.795 0.023 O
0.649 0.500 0.351 O
0.795 0.023 0.641 O
0.900 0.500 0.100 O
0.977 0.205 0.359 O
```

Results
Uncorrected formation energy   -1.82 eV/atom
DOS at the Fermi energy   6.21 states/eV/cell
Theoretical density   4.9 g/cm3

=====

Compound: Pr2TiBeO6
Source: Alexandria via LeMat-Bulk
Functional: GGA-PBE
Structure: optimized geometry

Cell and atoms, written as POSCAR:
```
Pr2TiBeO6
1.0
5.420 0.000 0.000
0.000 5.358 0.000
-5.385 0.000 7.648
Pr Ti Be O
4 2 2 12
direct
0.243 0.014 0.248 Pr
0.243 0.486 0.748 Pr
0.757 0.514 0.252 Pr
0.757 0.986 0.752 Pr
0.500 0.000 0.000 Ti
0.500 0.500 0.500 Ti
0.000 0.000 0.500 Be
0.000 0.500 0.000 Be
0.198 0.241 0.967 O
0.198 0.259 0.467 O
0.224 0.731 0.967 O
0.224 0.769 0.467 O
0.310 0.004 0.747 O
0.310 0.496 0.247 O
0.690 0.504 0.753 O
0.690 0.996 0.253 O
0.776 0.231 0.533 O
0.776 0.269 0.033 O
0.802 0.741 0.533 O
0.802 0.759 0.033 O
```

Results
Uncorrected formation energy   -3.06 eV/atom
DOS at the Fermi energy   0.00 states/eV/cell
Theoretical density   6.5 g/cm3